Entry 1:
This record from Alexandria via LeMat-Bulk describes a geometry-optimized MnTlC2 structure. The functional is PBE.

## Properties
Magnetization in μB per formula unit: 0.0
DFT formation energy in eV/atom: 2.429

Geometry as POSCAR:
```
MnTlC2
1.0
0.0000 2.8436 2.8436
2.8436 0.0000 2.8436
2.8436 2.8436 0.0000
Mn Tl C
1 1 2
Cartesian
0.0000 0.0000 0.0000
2.8436 2.8436 2.8436
1.4218 1.4218 1.4218
4.2654 4.2654 4.2654
```

***

Entry 2:
This record from Alexandria via LeMat-Bulk describes a geometry-optimized MnTl3C structure. The functional is PBE.

## Properties
Magnetization in μB per formula unit: 0.0
DFT formation energy in eV/atom: 1.871

Geometry as POSCAR:
```
MnTl3C
1.0
5.1054 0.0000 0.0000
0.0000 5.1054 0.0000
0.0000 0.0000 5.1054
Mn Tl C
1 3 1
Cartesian
0.0000 0.0000 0.0000
0.0000 0.0000 2.5527
0.0000 2.5527 0.0000
2.5527 0.0000 0.0000
2.5527 2.5527 2.5527
```